Re2GeBi | PBE-GGA | relaxed

Cell: 4.5939 4.5939 4.5939 Å, 60.00 60.00 60.00°
With the nearest neighbours (Å) after each atom.
Fractional positions:
Re 0.2500 0.2500 0.2500  4 Bi 2.81, 4 Ge 2.81
Re 0.7500 0.7500 0.7500  4 Bi 2.81, 4 Ge 2.81
Ge 0.0000 0.0000 0.0000  8 Re 2.81
Bi 0.5000 0.5000 0.5000  8 Re 2.81

Summary:
Density of states at the Fermi level: 0.71 states/eV per atom
Space group: Fm-3m
Total DFT energy (no corrections): -7.495 eV per atom

***

ReGeBi3 | PBE-GGA | relaxed

Cell: 5.4227 5.4227 5.4227 Å, 90.00 90.00 90.00°
With the nearest neighbours (Å) after each atom.
Fractional positions:
Re 0.5000 0.5000 0.5000  12 Bi 3.83
Ge 0.0000 0.0000 0.0000  6 Bi 2.71
Bi 0.0000 0.5000 0.0000  2 Ge 2.71
Bi 0.0000 0.0000 0.5000  2 Ge 2.71
Bi 0.5000 0.0000 0.0000  2 Ge 2.71

Summary:
Density of states at the Fermi level: 0.89 states/eV per atom
Space group: Pm-3m
Total DFT energy (no corrections): -4.114 eV per atom

***

ReGe2Bi | PBE-GGA | relaxed

Cell: 3.2209 3.2209 9.7387 Å, 80.48 80.48 60.00°
With the nearest neighbours (Å) after each atom.
Fractional positions:
Re 0.5000 0.5000 0.5000  6 Ge 2.58
Ge 0.1044 0.1044 0.6869  3 Re 2.58
Ge 0.8956 0.8956 0.3131  3 Re 2.58
Bi 0.0000 0.0000 0.0000  2 Ge 2.99, 6 Bi 3.22

Summary:
Density of states at the Fermi level: 0.69 states/eV per atom
Space group: R-3m
Total DFT energy (no corrections): -6.129 eV per atom

***

ReGe2Bi | PBE-GGA | relaxed

Cell: 5.8828 5.8828 7.6194 Å, 67.29 67.29 90.00°
With the nearest neighbours (Å) after each atom.
Fractional positions:
Re 0.5000 0.5000 0.0000  4 Ge 2.41
Re 0.2500 0.7500 0.5000  4 Ge 2.41
Ge 0.5517 0.1250 0.2500  2 Re 2.41
Ge 0.1983 0.6250 0.2500  2 Re 2.41
Ge 0.3750 0.4483 0.7500  2 Re 2.41
Ge 0.8750 0.8017 0.7500  2 Re 2.41
Bi 0.0000 0.0000 0.0000  4 Ge 2.89
Bi 0.7500 0.2500 0.5000  4 Ge 2.89

Summary:
Density of states at the Fermi level: 0.05 states/eV per atom
Space group: I-42d
Total DFT energy (no corrections): -5.692 eV per atom

***

ReGeBi3 | PBE-GGA | relaxed

Cell: 5.3315 5.3315 5.3315 Å, 90.00 90.00 90.00°
With the nearest neighbours (Å) after each atom.
Fractional positions:
Re 0.0000 0.0000 0.0000  6 Bi 2.67
Ge 0.5000 0.5000 0.5000  12 Bi 3.77
Bi 0.0000 0.5000 0.0000  2 Re 2.67
Bi 0.0000 0.0000 0.5000  2 Re 2.67
Bi 0.5000 0.0000 0.0000  2 Re 2.67

Summary:
Density of states at the Fermi level: 0.50 states/eV per atom
Space group: Pm-3m
Total DFT energy (no corrections): -4.825 eV per atom

***

Re2GeBi | PBE-GGA | relaxed

Cell: 4.2701 4.2701 9.5617 Å, 77.10 77.10 90.00°
With the nearest neighbours (Å) after each atom.
Fractional positions:
Re 0.5294 0.1250 0.2500  2 Re 2.51, 2 Ge 2.59
Re 0.2206 0.6250 0.2500  2 Re 2.51, 2 Ge 2.59
Re 0.3750 0.4706 0.7500  2 Re 2.51, 2 Ge 2.59
Re 0.8750 0.7794 0.7500  2 Re 2.51, 2 Ge 2.59
Ge 0.5000 0.5000 0.0000  4 Re 2.59
Ge 0.2500 0.7500 0.5000  4 Re 2.59
Bi 0.0000 0.0000 0.0000  4 Re 2.91, 4 Ge 3.02
Bi 0.7500 0.2500 0.5000  4 Re 2.91, 4 Ge 3.02

Summary:
Density of states at the Fermi level: 0.35 states/eV per atom
Space group: I-42d
Total DFT energy (no corrections): -7.462 eV per atom

***

Ge3BiRh | PBE-GGA | relaxed

Cell: 4.8594 4.8594 4.8594 Å, 90.00 90.00 90.00°
With the nearest neighbours (Å) after each atom.
Fractional positions:
Ge 0.0000 0.5000 0.0000  2 Rh 2.43
Ge 0.0000 0.0000 0.5000  2 Rh 2.43
Ge 0.5000 0.0000 0.0000  2 Rh 2.43
Rh 0.0000 0.0000 0.0000  6 Ge 2.43
Bi 0.5000 0.5000 0.5000  12 Ge 3.44

Summary:
Density of states at the Fermi level: 0.24 states/eV per atom
Space group: Pm-3m
Total DFT energy (no corrections): -4.912 eV per atom

***

Ge2Bi2Rh3 | PBE-GGA | relaxed

Cell: 3.9940 6.5199 6.0694 Å, 92.96 89.90 107.83°
With the nearest neighbours (Å) after each atom.
Fractional positions:
Ge 0.6135 0.2267 0.9158  5 Rh 2.46-2.54
Ge 0.3865 0.7733 0.0842  5 Rh 2.46-2.54
Bi 0.8488 0.6957 0.6310  4 Rh 2.85-2.86
Bi 0.1512 0.3043 0.3690  4 Rh 2.85-2.86
Rh 0.0000 0.0000 0.0000  4 Ge 2.51
Rh 0.7812 0.5630 0.1729  3 Ge 2.46-2.54
Rh 0.2188 0.4370 0.8271  3 Ge 2.46-2.54

Summary:
Density of states at the Fermi level: 0.57 states/eV per atom
Space group: P-1
Total DFT energy (no corrections): -5.839 eV per atom

***

GeBi3Rh | PBE-GGA | relaxed

Cell: 5.3843 5.3843 5.3843 Å, 90.00 90.00 90.00°
With the nearest neighbours (Å) after each atom.
Fractional positions:
Ge 0.0000 0.0000 0.0000  6 Bi 2.69
Rh 0.5000 0.5000 0.5000  12 Bi 3.81
Bi 0.0000 0.5000 0.0000  2 Ge 2.69
Bi 0.0000 0.0000 0.5000  2 Ge 2.69
Bi 0.5000 0.0000 0.0000  2 Ge 2.69

Summary:
Density of states at the Fermi level: 1.00 states/eV per atom
Space group: Pm-3m
Total DFT energy (no corrections): -3.664 eV per atom

***

GeBiRh2 | PBE-GGA | relaxed

Cell: 5.6461 5.6461 7.2514 Å, 67.09 67.09 90.00°
With the nearest neighbours (Å) after each atom.
Fractional positions:
Ge 0.5000 0.5000 0.0000  4 Rh 2.37
Ge 0.2500 0.7500 0.5000  4 Rh 2.37
Rh 0.5786 0.1250 0.2500  2 Ge 2.37
Rh 0.1714 0.6250 0.2500  2 Ge 2.37
Rh 0.3750 0.4214 0.7500  2 Ge 2.37
Rh 0.8750 0.8286 0.7500  2 Ge 2.37
Bi 0.0000 0.0000 0.0000  4 Rh 2.66
Bi 0.7500 0.2500 0.5000  4 Rh 2.66

Summary:
Density of states at the Fermi level: 0.49 states/eV per atom
Space group: I-42d
Total DFT energy (no corrections): -5.704 eV per atom

***

GeBi3Rh | PBE-GGA | relaxed

Cell: 5.3135 5.3135 5.3135 Å, 90.00 90.00 90.00°
With the nearest neighbours (Å) after each atom.
Fractional positions:
Ge 0.5000 0.5000 0.5000  12 Bi 3.76
Rh 0.0000 0.0000 0.0000  6 Bi 2.66
Bi 0.0000 0.5000 0.0000  2 Rh 2.66
Bi 0.0000 0.0000 0.5000  2 Rh 2.66
Bi 0.5000 0.0000 0.0000  2 Rh 2.66

Summary:
Density of states at the Fermi level: 1.15 states/eV per atom
Space group: Pm-3m
Total DFT energy (no corrections): -4.270 eV per atom

***

GeBiRh | PBE-GGA | relaxed

Cell: 4.5116 4.5116 4.5116 Å, 60.00 60.00 60.00°
With the nearest neighbours (Å) after each atom.
Fractional positions:
Ge 0.5000 0.5000 0.5000  4 Rh 2.76
Rh 0.2500 0.2500 0.2500  4 Ge 2.76, 4 Bi 2.76
Bi 0.0000 0.0000 0.0000  4 Rh 2.76

Summary:
Density of states at the Fermi level: 0.60 states/eV per atom
Space group: F-43m
Total DFT energy (no corrections): -5.411 eV per atom

***

Number 1: ΔH_f (0 K) 0.85 eV per atom. Number 2: ΔH_f (0 K) 1.63 eV per atom. Number 3: ΔH_f (0 K) 0.26 eV per atom. Number 4: ΔH_f (0 K) 0.70 eV per atom. Number 5: ΔH_f (0 K) 0.92 eV per atom. Number 6: ΔH_f (0 K) 0.89 eV per atom. Number 7: ΔH_f (0 K) 0.11 eV per atom. Number 8: ΔH_f (0 K) -0.26 eV per atom. Number 9: ΔH_f (0 K) 1.06 eV per atom. Number 10: ΔH_f (0 K) 0.10 eV per atom. Number 11: ΔH_f (0 K) 0.45 eV per atom. Number 12: ΔH_f (0 K) -0.13 eV per atom.